The following is a PBE-GGA calculation of a relaxed structure of NdMg2TlSn, from Alexandria via LeMat-Bulk.

The structure in POSCAR format:
```
NdMg2TlSn
1.0
-1.251 -3.918 -2.316
5.330 2.293 -1.950
4.776 -5.451 6.642
Mg Tl Sn Nd
4 2 2 2
direct
0.732 0.464 0.087 Mg
0.268 0.536 0.587 Mg
0.268 0.536 0.913 Mg
0.732 0.464 0.413 Mg
0.000 0.000 0.000 Tl
0.000 0.000 0.500 Tl
0.832 0.663 0.750 Sn
0.168 0.337 0.250 Sn
0.552 0.103 0.750 Nd
0.448 0.897 0.250 Nd
```

SG: Cmcm (63)
Total DFT energy (no corrections) (Ha/atom): -0.1160

***

The following is a PBE-GGA calculation of a relaxed structure of NdTmMgSn, from Alexandria via LeMat-Bulk.

The structure in POSCAR format:
```
NdTmMgSn
1.0
5.347 0.000 0.000
2.673 4.631 0.000
2.673 1.544 4.366
Sn Tm Mg Nd
1 1 1 1
direct
0.000 0.000 0.000 Sn
0.750 0.750 0.750 Tm
0.500 0.500 0.500 Mg
0.250 0.250 0.250 Nd
```

SG: F-43m (216)
Total DFT energy (no corrections) (Ha/atom): -0.1506

***

The following is a PBE-GGA calculation of a relaxed structure of NdYMgSn, from Alexandria via LeMat-Bulk.

The structure in POSCAR format:
```
NdYMgSn
1.0
5.378 0.000 0.000
2.689 4.657 0.000
2.689 1.552 4.391
Mg Y Nd Sn
1 1 1 1
direct
0.250 0.250 0.250 Mg
0.500 0.500 0.500 Y
0.000 0.000 0.000 Nd
0.750 0.750 0.750 Sn
```

SG: F-43m (216)
Total DFT energy (no corrections) (Ha/atom): -0.1706

***

The following is a PBE-GGA calculation of a relaxed structure of NdMgZnSn, from Alexandria via LeMat-Bulk.

The structure in POSCAR format:
```
NdMgZnSn
1.0
5.150 0.000 0.000
2.575 4.460 0.000
2.575 1.487 4.205
Zn Sn Nd Mg
1 1 1 1
direct
0.750 0.750 0.750 Zn
0.250 0.250 0.250 Sn
0.000 0.000 0.000 Nd
0.500 0.500 0.500 Mg
```

SG: F-43m (216)
Total DFT energy (no corrections) (Ha/atom): -0.1187